[1]
## BaLiSe (GGA-PBE)

Data for crystalline BaLiSe at its relaxed geometry. Values from VASP.

Properties
* formation energy (no corrections): -1257 meV per atom
* symmetry: P-6m2 (187)
* energy above the most stable polymorph in this dataset: 0.007 eV/atom
* volume: 27.6 Å³/atom

Cell and atoms, written as Quantum ESPRESSO input:
```
&SYSTEM
  ibrav = 0, nat = 3, ntyp = 3
/
ATOMIC_SPECIES
Se 78.96 Se.upf
Ba 137.33 Ba.upf
Li 6.94 Li.upf
CELL_PARAMETERS angstrom
-4.356 0.371 -0.795
2.380 -3.121 -2.083
-0.923 -3.109 3.604
ATOMIC_POSITIONS angstrom
Se -0.327 -3.513 0.150
Ba 0.000 0.000 0.000
Li -2.571 -2.345 0.576
```

---

[2]
## NdY3Bi3 (GGA-PBE)

Data for crystalline NdY3Bi3 at its relaxed geometry. Values from VASP.

Properties
* energy of formation: -4.450 eV/f.u.
* symmetry: P6_3/m (176)
* energy above the most stable polymorph in this dataset: 0.145 eV/atom
* volume: 31.1 Å³/atom

Cell and atoms, written as Quantum ESPRESSO input:
```
&SYSTEM
  ibrav = 0, nat = 14, ntyp = 3
/
ATOMIC_SPECIES
Bi 208.98 Bi.upf
Y 88.91 Y.upf
Nd 144.24 Nd.upf
CELL_PARAMETERS angstrom
-4.120 -4.061 -0.920
3.388 -5.023 7.003
-6.581 6.317 1.592
ATOMIC_POSITIONS angstrom
Bi -2.624 -0.137 3.035
Bi -5.267 2.045 5.241
Bi -2.046 -4.812 2.435
Bi -4.690 -2.630 4.641
Bi -4.974 2.657 1.222
Bi -2.340 -5.424 6.454
Y -7.009 -0.623 6.172
Y -0.305 -2.144 1.504
Y -8.115 1.750 0.646
Y -3.392 -0.114 6.376
Y -3.922 -2.652 1.300
Y 0.801 -4.517 7.029
Nd -0.965 -2.258 4.970
Nd -6.348 -0.509 2.706
```

---

[3]
## KGePt2 (GGA-PBE)

Data for crystalline KGePt2 at its relaxed geometry. Values from VASP.

Properties
* energy of formation: -1.324 eV/f.u.
* symmetry: R-3m (166)
* volume: 25.2 Å³/atom

Cell and atoms, written as Quantum ESPRESSO input:
```
&SYSTEM
  ibrav = 0, nat = 4, ntyp = 3
/
ATOMIC_SPECIES
Ge 72.64 Ge.upf
K 39.10 K.upf
Pt 195.08 Pt.upf
CELL_PARAMETERS angstrom
4.416 0.000 0.000
2.208 3.824 0.000
2.208 1.275 5.967
ATOMIC_POSITIONS angstrom
Ge 0.000 0.000 0.000
K 4.416 2.549 2.983
Pt 6.624 3.824 5.563
Pt 2.208 1.275 0.404
```

---

[4]
## Na2CaV (GGA-PBE)

Data for crystalline Na2CaV at its relaxed geometry. Values from VASP.

Properties
* energy of formation: 3.195 eV/f.u.
* symmetry: I-42d (122)
* energy above the most stable polymorph in this dataset: 0.092 eV/atom
* volume: 31.9 Å³/atom

Cell and atoms, written as Quantum ESPRESSO input:
```
&SYSTEM
  ibrav = 0, nat = 8, ntyp = 3
/
ATOMIC_SPECIES
Na 22.99 Na.upf
Ca 40.08 Ca.upf
V 50.94 V.upf
CELL_PARAMETERS angstrom
-0.981 0.544 -8.863
-8.048 -3.823 0.656
-5.856 1.240 -3.779
ATOMIC_POSITIONS angstrom
Na -12.537 -2.055 -9.995
Na -7.534 -0.183 -5.931
Na -6.587 -2.028 -1.373
Na -3.113 0.189 -6.671
Ca -9.209 -2.111 -3.613
Ca -4.515 -1.639 -4.104
V -5.676 0.072 -8.373
V 0.000 0.000 0.000
```

---

[5]
## Na2CuRu (GGA-PBE)

Data for crystalline Na2CuRu at its relaxed geometry. Values from VASP.

Properties
* energy of formation: 3.896 eV/f.u.
* symmetry: I-42d (122)
* energy above the most stable polymorph in this dataset: 0.000 eV/atom
* volume: 19.8 Å³/atom

Cell and atoms, written as Quantum ESPRESSO input:
```
&SYSTEM
  ibrav = 0, nat = 8, ntyp = 3
/
ATOMIC_SPECIES
Na 22.99 Na.upf
Cu 63.55 Cu.upf
Ru 101.07 Ru.upf
CELL_PARAMETERS angstrom
-4.244 -5.907 -3.020
1.386 -4.295 6.454
-3.536 -4.144 2.806
ATOMIC_POSITIONS angstrom
Na -3.693 -7.030 3.538
Na -0.644 -4.592 4.290
Na -5.184 -11.937 4.964
Na -3.268 -5.131 -0.311
Cu -1.790 -6.770 5.488
Cu -1.429 -5.101 1.717
Ru 0.000 0.000 0.000
Ru -4.605 -7.576 0.752
```

---

[6]
## InTe (GGA-PBE)

Data for crystalline InTe at its relaxed geometry. Values from VASP.

Properties
* formation energy (no corrections): 77 meV per atom
* symmetry: Fd-3m (227)
* volume: 29.8 Å³/atom

Cell and atoms, written as Quantum ESPRESSO input:
```
&SYSTEM
  ibrav = 0, nat = 4, ntyp = 2
/
ATOMIC_SPECIES
In 114.82 In.upf
Te 127.60 Te.upf
CELL_PARAMETERS angstrom
5.524 0.000 0.000
2.762 4.784 0.000
2.762 1.595 4.511
ATOMIC_POSITIONS angstrom
In 2.762 1.595 1.128
In 0.000 0.000 0.000
Te 5.524 3.189 2.255
Te 8.286 4.784 3.383
```

---

[7]
## NaTi2As (GGA-PBE)

Data for crystalline NaTi2As at its relaxed geometry. Values from VASP.

Properties
* energy of formation: 0.935 eV/f.u.
* symmetry: I-42d (122)
* volume: 19.9 Å³/atom

Cell and atoms, written as Quantum ESPRESSO input:
```
&SYSTEM
  ibrav = 0, nat = 8, ntyp = 3
/
ATOMIC_SPECIES
Na 22.99 Na.upf
As 74.92 As.upf
Ti 47.87 Ti.upf
CELL_PARAMETERS angstrom
-5.756 -3.717 -3.258
-1.852 -3.015 6.711
-5.475 -1.219 2.230
ATOMIC_POSITIONS angstrom
Na -3.804 -3.366 1.727
Na -5.566 -3.800 5.334
As 0.000 0.000 0.000
As -7.518 -4.151 0.349
Ti -10.850 -6.945 5.007
Ti -2.977 -2.480 4.497
Ti -6.873 -3.298 2.654
Ti -5.466 -3.178 -0.792
```

---

[8]
## Ca2OsBr (GGA-PBE)

Data for crystalline Ca2OsBr at its relaxed geometry. Values from VASP.

Properties
* formation energy (no corrections): -149 meV per atom
* symmetry: Cmmm (65)
* energy above the most stable polymorph in this dataset: 0.203 eV/atom
* volume: 22.9 Å³/atom

Cell and atoms, written as Quantum ESPRESSO input:
```
&SYSTEM
  ibrav = 0, nat = 4, ntyp = 3
/
ATOMIC_SPECIES
Ca 40.08 Ca.upf
Os 190.23 Os.upf
Br 79.90 Br.upf
CELL_PARAMETERS angstrom
-0.231 4.314 3.144
-3.469 2.275 -3.367
-2.441 -1.310 1.624
ATOMIC_POSITIONS angstrom
Ca 0.000 0.000 0.000
Ca -1.850 3.294 -0.111
Os -1.336 1.502 2.384
Br -2.955 0.483 -0.872
```

---

Magnetic moment, record by record: 0.9, 1.6, 0.0, 9.0, 3.4, 0.0, 0.0, 0.4 μB per cell